# 1
The following is a DFT calculation (PBE-GGA) of an optimized crystal structure of MnPH6CCl3.

Cell and atoms, written as POSCAR:
```
MnPH6CCl3
1.0
8.3254 0.1043 -0.1209
0.0134 6.3523 -0.0330
-9.3396 0.2703 14.9883
P Cl Mn H C
4 12 4 24 4
Direct
0.1628 0.2598 0.8636
0.1679 0.2488 0.3613
0.8419 0.7397 0.5342
0.8493 0.7425 0.0373
0.3493 0.7639 0.6251
0.2145 0.2652 0.6886
0.6448 0.2331 0.3910
0.7924 0.7277 0.3359
0.6320 0.2579 0.6885
0.6400 0.2358 0.1910
0.3725 0.7582 0.8274
0.6448 0.2512 0.8887
0.7865 0.7502 0.8294
0.3576 0.7435 0.3182
0.3728 0.7444 0.1258
0.2163 0.2496 0.1866
0.4998 0.5084 0.7546
0.5078 0.9917 0.2563
0.5002 0.0072 0.7543
0.5080 0.4855 0.2562
0.0970 0.3942 0.9699
0.9704 0.2636 0.7897
0.2640 0.0671 0.3584
0.1095 0.1175 0.4712
0.0988 0.1126 0.9692
0.9025 0.8690 0.1758
0.9308 0.9109 0.5222
0.2553 0.0797 0.8567
0.8972 0.5876 0.1715
0.6782 0.7396 0.1119
0.2516 0.4290 0.3503
0.7770 0.6286 0.6447
0.7612 0.9267 0.9845
0.3240 0.2659 0.5224
0.9748 0.2428 0.2881
0.9395 0.5548 0.5368
0.6518 0.7335 0.4585
0.0948 0.3993 0.4621
0.0445 0.7404 0.0653
0.7621 0.5673 0.9823
0.7742 0.9092 0.6348
0.2519 0.4406 0.8572
0.9987 0.7651 0.6936
0.3201 0.2494 0.0249
0.1757 0.2586 0.4647
0.1713 0.2534 0.9673
0.8290 0.7341 0.1334
0.8488 0.7630 0.6370
```

Calculated values
energy = -4.613 eV per atom

# 2
The following is a DFT calculation (PBE-GGA) of an optimized crystal structure of ScP2Ir4.

Cell and atoms, written as POSCAR:
```
ScP2Ir4
1.0
-2.3294 2.5146 2.2479
-5.1473 -2.1048 -2.9794
-1.7206 -11.5377 11.1234
Ir P Sc
16 8 4
Direct
0.7500 0.3889 0.3326
0.7500 0.4552 0.5650
0.2500 0.1859 0.7181
0.7500 0.1111 0.8326
0.2500 0.3141 0.2181
0.7500 0.0448 0.0650
0.7500 0.6510 0.9709
0.7500 0.8141 0.2819
0.7500 0.6859 0.7819
0.2500 0.6111 0.6674
0.2500 0.8889 0.1674
0.7500 0.8490 0.4709
0.2500 0.3490 0.0291
0.2500 0.5448 0.4350
0.2500 0.1510 0.5291
0.2500 0.9552 0.9350
0.2500 0.8681 0.7909
0.2500 0.6319 0.2909
0.7500 0.1319 0.2091
0.7500 0.2774 0.9562
0.7500 0.2226 0.4562
0.7500 0.3681 0.7091
0.2500 0.7226 0.0438
0.2500 0.7774 0.5438
0.7500 0.5543 0.1430
0.2500 0.4457 0.8570
0.2500 0.0543 0.3570
0.7500 0.9457 0.6430
```

Calculated values
energy = -8.132 eV per atom
ΔE_f = -0.6187 eV per atom